Compound: Tl3AuS
Source: the Alexandria database
Functional: GGA-PBE
Structure: optimized geometry

The structure in extended XYZ format:
```
5
Lattice="5.482 0.000 0.000 0.000 5.482 0.000 0.000 0.000 5.482" Properties=species:S:1:pos:R:3 pbc="T T T"
Tl 0.000 0.000 2.741
Tl 0.000 2.741 0.000
Tl 2.741 0.000 0.000
Au 0.000 0.000 0.000
S 2.741 2.741 2.741
```

Summary:
DOS(E_F): 0.15 states/eV per atom
Crystal system: cubic
Size of the total moment: 0.0 μB per formula unit
Energy relative to the lowest polymorph listed for this composition: 244 meV/atom

***

Compound: Tb6Ni2Rh
Source: the Alexandria database
Functional: GGA-PBE
Structure: optimized geometry

The structure in extended XYZ format:
```
18
Lattice="6.445 0.000 0.000 0.000 7.123 0.000 -5.950 0.000 10.124" Properties=species:S:1:pos:R:3 pbc="T T T"
Tb -1.980 1.308 4.308
Tb -4.955 2.253 9.370
Tb -0.951 4.788 4.258
Tb -3.926 5.895 9.321
Tb 1.163 0.370 2.502
Tb -1.812 3.191 7.565
Tb 2.308 3.931 2.560
Tb -0.667 6.753 7.622
Tb 4.422 1.227 0.804
Tb 1.447 2.334 5.866
Tb 5.451 4.870 0.754
Tb 2.476 5.814 5.817
Ni -3.225 0.808 7.441
Ni -0.250 2.753 2.379
Ni 0.746 4.369 7.746
Ni 3.721 6.315 2.683
Rh 0.248 0.000 5.062
Rh 3.223 3.561 0.000
```

Summary:
DOS(E_F): 0.84 states/eV per atom
Crystal system: monoclinic
Size of the total moment: 0.0 μB per formula unit
ΔE_f: -345 meV/atom
Energy relative to the lowest polymorph listed for this composition: 50 meV/atom

***

Compound: EuTlCu
Source: the Alexandria database
Functional: GGA-PBE
Structure: optimized geometry

The structure in extended XYZ format:
```
3
Lattice="4.740 0.000 0.000 -2.370 4.105 0.000 0.000 0.000 3.924" Properties=species:S:1:pos:R:3 pbc="T T T"
Eu 0.000 0.000 0.000
Tl 0.000 2.737 1.962
Cu 2.370 1.368 1.962
```

Summary:
DOS(E_F): 2.61 states/eV per atom
Crystal system: hexagonal
Size of the total moment: 7.1 μB per formula unit
ΔE_f: -201 meV/atom

***

Look up the DOS(E_F) of the second one.
0.84 states/eV per atom

***

The lowest DOS(E_F) belongs to which entry?
Tl3AuS

***

What is the formula in the second record?
Tb6Ni2Rh